(1)
Mg4AlZn, optimized geometry, DFT GGA-PBE; density = 2.40 g cm⁻³; raw total energy = -10.051 eV/f.u.; polymorph energy (0 for the lowest one) = 133.3 meV/atom; crystal system = cubic; formation enthalpy at 0 K = 224.0 meV/atom; M_tot = 0.000 μB per cell
1.0
0.000 4.032 4.032
4.032 0.000 4.032
4.032 4.032 0.000
Mg Al Zn
4 1 1
Cartesian
1.008 1.008 1.008
3.023 3.023 1.008
3.023 1.008 3.023
1.008 3.023 3.023
4.032 4.032 4.032
6.048 6.048 6.048

(2)
Mg2Al4Zn3, optimized geometry, DFT GGA-PBE; density = 3.68 g cm⁻³; raw total energy = -21.697 eV/f.u.; polymorph energy (0 for the lowest one) = 0.0 meV/atom; crystal system = hexagonal; formation enthalpy at 0 K = 31.6 meV/atom; M_tot = 0.000 μB per cell
1.0
5.043 0.000 0.000
-2.521 4.367 0.000
0.000 0.000 14.473
Mg Al Zn
4 8 6
Cartesian
0.000 2.912 2.021
0.000 2.912 5.215
2.521 1.456 9.258
2.521 1.456 12.452
0.000 0.000 1.298
0.000 0.000 5.939
0.000 0.000 8.534
0.000 0.000 13.176
0.000 2.912 8.191
0.000 2.912 13.519
2.521 1.456 0.955
2.521 1.456 6.282
0.000 1.472 10.855
-1.246 3.631 10.855
1.275 0.736 3.618
1.246 3.631 10.855
3.768 0.736 3.618
2.521 2.895 3.618

(3)
MgAl2Zn, optimized geometry, DFT GGA-PBE; density = 3.42 g cm⁻³; raw total energy = -10.345 eV/f.u.; crystal system = tetragonal; formation enthalpy at 0 K = 2.2 meV/atom; M_tot = 0.000 μB per cell
1.0
-2.065 2.065 4.097
2.065 -2.065 4.097
2.065 2.065 -4.097
Mg Al Zn
1 2 1
Cartesian
0.000 0.000 0.000
0.000 0.000 4.097
0.000 2.065 2.048
2.065 0.000 2.048

(4)
MgAlZn4, optimized geometry, DFT GGA-PBE; density = 5.24 g cm⁻³; raw total energy = -10.478 eV/f.u.; polymorph energy (0 for the lowest one) = 0.0 meV/atom; crystal system = cubic; formation enthalpy at 0 K = -7.5 meV/atom; M_tot = 0.000 μB per cell
1.0
0.000 3.674 3.674
3.674 0.000 3.674
3.674 3.674 0.000
Mg Al Zn
1 1 4
Cartesian
0.000 0.000 0.000
5.512 5.512 5.512
2.754 2.754 2.754
4.595 4.595 2.754
4.595 2.754 4.595
2.754 4.595 4.595

(5)
MgAlZn, optimized geometry, DFT GGA-PBE; density = 3.57 g cm⁻³; raw total energy = -6.803 eV/f.u.; polymorph energy (0 for the lowest one) = 0.0 meV/atom; crystal system = orthorhombic; formation enthalpy at 0 K = -64.1 meV/atom; M_tot = 0.000 μB per cell
1.0
-4.070 5.870 3.411
4.070 -5.870 3.411
4.070 5.870 -3.411
Mg Al Zn
6 6 6
Cartesian
2.035 0.003 0.000
2.035 5.867 3.411
2.035 3.440 0.821
2.035 -2.426 4.231
2.035 8.296 0.819
2.035 2.430 4.232
4.072 4.430 -1.436
4.068 -1.440 1.975
-0.002 1.440 1.975
4.072 1.440 1.975
0.000 5.870 1.085
0.000 0.000 4.496
4.072 1.957 -0.595
4.068 -3.912 2.816
2.035 5.867 -0.593
2.035 0.003 2.818
-0.002 3.912 2.816
4.072 3.912 2.816

(6)
Mg2Al2Zn15, optimized geometry, DFT GGA-PBE; density = 5.82 g cm⁻³; raw total energy = -29.832 eV/f.u.; crystal system = trigonal; formation enthalpy at 0 K = -2.6 meV/atom; M_tot = 0.000 μB per cell
1.0
4.447 2.567 4.517
-4.447 2.567 4.517
0.000 -5.135 4.517
Mg Al Zn
2 2 15
Cartesian
0.000 0.000 1.752
0.000 0.000 11.800
0.000 0.000 5.460
0.000 0.000 8.092
-2.223 -1.284 4.517
0.000 -2.599 4.421
-2.251 1.300 4.421
-1.434 -2.483 6.776
-2.867 0.000 6.776
-2.251 -1.300 9.131
-2.223 1.284 9.035
1.434 -2.483 6.776
0.000 2.567 4.517
-1.434 2.483 6.776
2.251 1.300 4.421
2.867 0.000 6.776
1.434 2.483 6.776
2.251 -1.300 9.131
0.000 2.599 9.131

(7)
Mg4AlZn2, optimized geometry, DFT GGA-PBE; density = 3.01 g cm⁻³; raw total energy = -12.696 eV/f.u.; polymorph energy (0 for the lowest one) = 0.0 meV/atom; crystal system = trigonal; formation enthalpy at 0 K = -3.9 meV/atom; M_tot = 0.000 μB per cell
1.0
2.337 1.350 7.431
-2.337 1.350 7.431
0.000 -2.699 7.431
Mg Al Zn
4 1 2
Cartesian
0.000 0.000 2.571
0.000 0.000 8.237
0.000 0.000 14.056
0.000 0.000 19.722
0.000 0.000 11.147
0.000 0.000 5.454
0.000 0.000 16.840

(8)
Mg16Al12Zn, optimized geometry, DFT GGA-PBE; density = 2.23 g cm⁻³; raw total energy = -72.498 eV/f.u.; polymorph energy (0 for the lowest one) = 4.1 meV/atom; crystal system = trigonal; formation enthalpy at 0 K = -27.6 meV/atom; M_tot = 0.000 μB per cell
1.0
7.392 4.268 3.056
-7.392 4.268 3.056
0.000 -8.535 3.056
Mg Al Zn
16 12 1
Cartesian
0.000 0.000 0.000
0.000 5.576 7.166
5.028 0.517 5.862
4.829 -2.788 7.166
2.961 4.096 5.862
-2.954 -1.705 5.066
-5.028 0.517 5.862
-2.067 -4.613 5.862
-4.829 -2.788 7.166
0.000 -2.519 4.683
-2.182 1.260 4.683
-2.961 4.096 5.862
2.067 -4.613 5.862
2.954 -1.705 5.066
0.000 3.411 5.066
2.182 1.260 4.683
-4.680 -4.258 4.452
-6.028 -1.924 4.452
-1.384 -0.799 2.719
0.000 -5.325 3.628
-4.612 2.663 3.628
1.384 -0.799 2.719
0.000 1.598 2.719
4.680 -4.258 4.452
-1.348 6.182 4.452
4.612 2.663 3.628
6.028 -1.924 4.452
1.348 6.182 4.452
0.000 0.000 6.298

(9)
MgAl2Zn, optimized geometry, DFT GGA-PBE; density = 3.15 g cm⁻³; raw total energy = -10.070 eV/f.u.; crystal system = trigonal; formation enthalpy at 0 K = 70.9 meV/atom; M_tot = 0.000 μB per cell
1.0
2.211 1.277 4.468
-2.211 1.277 4.468
0.000 -2.553 4.468
Mg Al Zn
1 2 1
Cartesian
0.000 0.000 0.000
0.000 0.000 7.538
0.000 0.000 10.467
0.000 0.000 2.725

(10)
MgAl2Zn, optimized geometry, DFT GGA-PBE; density = 3.38 g cm⁻³; raw total energy = -10.233 eV/f.u.; crystal system = orthorhombic; formation enthalpy at 0 K = 30.1 meV/atom; M_tot = 0.000 μB per cell
1.0
2.929 0.000 0.000
0.000 4.101 0.000
0.000 0.000 5.877
Mg Al Zn
1 2 1
Cartesian
0.000 0.000 0.000
1.465 2.050 1.537
1.465 2.050 4.340
0.000 0.000 2.939

(11)
Mg2Al3Zn4, optimized geometry, DFT GGA-PBE; density = 4.10 g cm⁻³; raw total energy = -19.592 eV/f.u.; crystal system = orthorhombic; formation enthalpy at 0 K = -8.8 meV/atom; M_tot = 0.000 μB per cell
1.0
2.744 -8.147 0.000
2.744 8.147 0.000
0.000 0.000 7.086
Mg Al Zn
4 6 8
Cartesian
2.744 6.743 6.273
2.744 1.404 2.730
2.744 -1.404 4.356
2.744 -6.743 0.813
0.000 0.000 3.543
1.372 3.991 5.314
1.372 -3.991 1.771
2.744 0.000 0.000
4.116 3.991 5.314
4.116 -3.991 1.771
2.744 5.503 3.650
1.372 1.281 5.314
1.372 -1.281 1.771
2.744 2.644 0.108
2.744 -2.644 6.978
4.116 1.281 5.314
4.116 -1.281 1.771
2.744 -5.503 3.435

(12)
MgAl6Zn, optimized geometry, DFT GGA-PBE; density = 2.92 g cm⁻³; raw total energy = -24.416 eV/f.u.; polymorph energy (0 for the lowest one) = 106.9 meV/atom; crystal system = monoclinic; formation enthalpy at 0 K = 113.5 meV/atom; M_tot = 0.000 μB per cell
1.0
3.295 -4.740 0.000
3.295 4.740 0.000
-3.093 0.000 4.587
Mg Al Zn
1 6 1
Cartesian
0.000 0.000 0.000
-0.740 2.274 3.440
4.236 -2.274 1.146
-0.740 -2.274 3.440
0.903 0.000 3.347
4.236 2.274 1.146
2.593 0.000 1.240
-1.547 0.000 2.293

(13)
MgAl2Zn, optimized geometry, DFT GGA-PBE; density = 3.38 g cm⁻³; raw total energy = -10.227 eV/f.u.; crystal system = monoclinic; formation enthalpy at 0 K = 31.8 meV/atom; M_tot = 0.000 μB per cell
1.0
4.597 -1.512 0.000
4.597 1.512 0.000
-0.962 0.000 5.082
Mg Al Zn
1 2 1
Cartesian
0.000 0.000 0.000
4.157 0.000 2.582
6.693 0.000 1.376
1.552 0.000 3.850

(14)
MgZrAlZn, optimized geometry, DFT GGA-PBE; density = 4.71 g cm⁻³; raw total energy = -16.388 eV/f.u.; crystal system = orthorhombic; formation enthalpy at 0 K = -307.1 meV/atom; M_tot = 0.000 μB per cell
1.0
4.027 0.000 0.000
0.000 4.193 0.000
0.000 0.000 4.344
Mg Zr Al Zn
1 1 1 1
Cartesian
0.000 0.000 0.000
0.000 2.096 2.172
2.014 0.000 2.172
2.014 2.096 0.000

(15)
MgZrAl2, optimized geometry, DFT GGA-PBE; density = 3.54 g cm⁻³; raw total energy = -18.047 eV/f.u.; crystal system = trigonal; formation enthalpy at 0 K = -104.8 meV/atom; M_tot = 0.000 μB per cell
1.0
1.541 0.889 9.672
-1.541 0.889 9.672
0.000 -1.779 9.672
Mg Zr Al
1 1 2
Cartesian
0.000 0.000 0.000
0.000 0.000 14.508
0.000 0.000 7.270
0.000 0.000 21.746

(16)
MgZr2Al, optimized geometry, DFT GGA-PBE; density = 4.72 g cm⁻³; raw total energy = -22.947 eV/f.u.; crystal system = tetragonal; formation enthalpy at 0 K = -128.3 meV/atom; M_tot = 0.000 μB per cell
1.0
3.457 0.000 0.000
0.000 3.457 0.000
0.000 0.000 6.885
Mg Zr Al
1 2 1
Cartesian
0.000 0.000 0.000
1.728 1.728 1.769
1.728 1.728 5.116
0.000 0.000 3.442

(17)
MgZr5Al3, optimized geometry, DFT GGA-PBE; density = 5.09 g cm⁻³; raw total energy = -58.775 eV/f.u.; crystal system = hexagonal; formation enthalpy at 0 K = -356.9 meV/atom; M_tot = 0.000 μB per cell
1.0
8.491 0.000 0.000
-4.246 7.353 0.000
0.000 0.000 5.867
Mg Zr Al
2 10 6
Cartesian
0.000 0.000 0.000
0.000 0.000 2.933
-1.353 2.344 1.467
-2.892 5.010 4.400
2.706 0.000 1.467
1.353 2.344 4.400
0.000 4.902 0.000
0.000 4.902 2.933
4.246 2.451 0.000
4.246 2.451 2.933
5.785 0.000 4.400
2.892 5.010 1.467
-1.483 2.569 4.400
-2.762 4.784 1.467
2.966 0.000 4.400
1.483 2.569 1.467
5.525 0.000 1.467
2.762 4.784 4.400

(18)
MgZrAl2, optimized geometry, DFT GGA-PBE; density = 3.66 g cm⁻³; raw total energy = -18.490 eV/f.u.; crystal system = tetragonal; formation enthalpy at 0 K = -215.5 meV/atom; M_tot = 0.000 μB per cell
1.0
-2.029 2.029 4.674
2.029 -2.029 4.674
2.029 2.029 -4.674
Mg Zr Al
1 1 2
Cartesian
0.000 0.000 0.000
2.029 0.000 2.337
0.000 0.000 4.674
0.000 2.029 2.337

(19)
MgZrAl2, optimized geometry, DFT GGA-PBE; density = 3.60 g cm⁻³; raw total energy = -18.050 eV/f.u.; crystal system = orthorhombic; formation enthalpy at 0 K = -105.6 meV/atom; M_tot = 0.000 μB per cell
1.0
3.184 0.000 0.000
0.000 4.147 0.000
0.000 0.000 5.922
Mg Zr Al
1 1 2
Cartesian
0.000 0.000 0.000
1.592 2.074 1.637
0.000 0.000 3.002
1.592 2.074 4.517

(20)
MgZr2Al, optimized geometry, DFT GGA-PBE; density = 4.58 g cm⁻³; raw total energy = -22.623 eV/f.u.; crystal system = monoclinic; formation enthalpy at 0 K = -47.4 meV/atom; M_tot = 0.000 μB per cell
1.0
5.358 0.000 0.000
0.000 3.063 0.000
-1.819 0.000 5.168
Mg Zr Al
1 2 1
Cartesian
0.000 0.000 0.000
-0.910 1.532 2.584
1.769 0.000 2.584
2.679 1.532 0.000